This record from Alexandria describes a relaxed structure of NpSi6. The functional is PBE-GGA.

Properties
* energy relative to the elements, uncorrected: 2.67 eV per formula unit
* magnetization: 5.21 μB/f.u.
* DOS(E_F): 31.35 states/eV/cell
* final energy: -6.116 eV per atom

Cell and atoms, written as CIF:
```
data_NpSi6
_chemical_formula_sum 'Np2 Si12'
_space_group_name_H-M_alt 'I m -3 m'
_space_group_IT_number 229
_space_group_name_Hall '-I 4 2 3'
_cell_length_a 6.6439
_cell_length_b 6.6439
_cell_length_c 6.6439
_cell_angle_alpha 90.00
_cell_angle_beta 90.00
_cell_angle_gamma 90.00
loop_
_atom_site_label
_atom_site_type_symbol
_atom_site_fract_x
_atom_site_fract_y
_atom_site_fract_z
Np1 Np 0.0000 0.0000 0.0000
Si1 Si 0.0000 0.2500 0.5000
```